BeZnHg2 | PBE | relaxed

Unit cell a=6.673 b=6.673 c=6.673 alpha=155.74 beta=142.32 gamma=45.32
Fractional coordinates of all 4 atoms:
Hg1 0.754 0.254 0.500
Hg2 0.053 0.053 0.000
Be1 0.262 0.762 0.500
Zn1 0.431 0.431 0.000

Calculated values
* ΔE_f: 0.257 eV/atom
* M_tot: 0.000 μB/atom
* E_tot: -1.144 eV per atom
* SG: No. 44
* E above lowest polymorph: 0.027 eV/atom

***

BeZnHg | PBE | relaxed

Unit cell a=4.226 b=4.226 c=3.186 alpha=90.00 beta=90.00 gamma=120.00
Fractional coordinates of all 3 atoms:
Be1 0.000 0.000 0.154
Zn1 0.333 0.667 0.674
Hg1 0.667 0.333 0.171

Calculated values
* ΔE_f: 0.420 eV/atom
* M_tot: 0.000 μB/atom
* E_tot: -1.348 eV per atom
* SG: No. 156
* E above lowest polymorph: 0.144 eV/atom

***

Be2ZnHg | PBE | relaxed

Unit cell a=4.302 b=4.302 c=4.302 alpha=60.00 beta=60.00 gamma=60.00
Fractional coordinates of all 4 atoms:
Zn1 0.250 0.250 0.250
Be1 0.750 0.750 0.750
Be2 0.000 0.000 0.000
Hg1 0.500 0.500 0.500

Calculated values
* ΔE_f: 0.572 eV/atom
* M_tot: 0.000 μB/atom
* E_tot: -1.685 eV per atom
* SG: No. 216
* E above lowest polymorph: 0.189 eV/atom

***

Be2ZnHg | PBE | relaxed

Unit cell a=4.700 b=4.700 c=4.700 alpha=133.56 beta=132.56 gamma=68.57
Fractional coordinates of all 4 atoms:
Hg1 0.501 0.501 0.000
Be1 0.997 0.997 0.000
Be2 0.753 0.253 0.500
Zn1 0.249 0.749 0.500

Calculated values
* ΔE_f: 0.449 eV/atom
* M_tot: 0.000 μB/atom
* E_tot: -1.808 eV per atom
* SG: No. 44
* E above lowest polymorph: 0.066 eV/atom

***

BeZnHg2 | PBE | relaxed

Unit cell a=3.401 b=3.401 c=8.847 alpha=90.00 beta=90.00 gamma=130.29
Fractional coordinates of all 4 atoms:
Hg1 0.000 0.000 0.520
Hg2 0.000 0.000 0.980
Be1 0.500 0.500 0.750
Zn1 0.500 0.500 0.250

Calculated values
* ΔE_f: 0.356 eV/atom
* M_tot: 0.000 μB/atom
* E_tot: -1.045 eV per atom
* SG: No. 65
* E above lowest polymorph: 0.125 eV/atom

***

BeZnHg2 | PBE | relaxed

Unit cell a=3.050 b=3.050 c=7.645 alpha=90.00 beta=90.00 gamma=90.00
Fractional coordinates of all 4 atoms:
Zn1 0.500 0.500 0.250
Be1 0.500 0.500 0.750
Hg1 0.000 0.000 0.530
Hg2 0.000 0.000 0.970

Calculated values
* ΔE_f: 0.389 eV/atom
* M_tot: 0.000 μB/atom
* E_tot: -1.012 eV per atom
* SG: No. 123
* E above lowest polymorph: 0.158 eV/atom

***

- What is the E_tot in the sixth record?
  -1.012 eV per atom

***

- The highest E_tot belongs to which entry?
  number 6

***

- Among the records above, which one has the lowest E_tot?
  number 4